# Ba4PI5 (PBE-GGA, optimized geometry)
data_Ba4PI5
_space_group_name_H-M_alt 'C 1 2/m 1'
_space_group_IT_number 12
_cell_length_a 21.644
_cell_length_b 4.951
_cell_length_c 9.695
_cell_angle_alpha 90.00
_cell_angle_beta 105.88
_cell_angle_gamma 90.00
loop_
_space_group_symop_operation_xyz
'x,y,z'
'-x,-y,-z'
'-x,y,-z'
'x,-y,z'
'x+1/2,y+1/2,z'
'-x+1/2,-y+1/2,-z'
'-x+1/2,y+1/2,-z'
'x+1/2,-y+1/2,z'
loop_
_atom_site_label
_atom_site_fract_x
_atom_site_fract_y
_atom_site_fract_z
_atom_site_occupancy
Ba1 0.000 0.000 0.227 1
Ba2 0.156 0.500 0.100 1
P1 0.000 0.500 0.000 1
I1 0.000 0.500 0.500 1
I2 0.167 0.000 0.351 1
I3 0.169 0.000 0.852 1
# * energy: -0.2728 Ry per atom